[1]
# GGA-PBEsol CeMg2, optimized geometry
# - Theoretical density: 4.50 g/cm³
# - Calculated formation energy: 0.2 kcal/mol of atoms
data_CeMg2
_cell_length_a 3.0755
_cell_length_b 3.0755
_cell_length_c 17.0108
_cell_angle_alpha 90.00
_cell_angle_beta 90.00
_cell_angle_gamma 120.00
_symmetry_space_group_name_H-M 'P 1'
_symmetry_Int_Tables_number 1
_symmetry_space_group_name_Hall 'P 1'
loop_
_atom_site_label
_atom_site_type_symbol
_atom_site_fract_x
_atom_site_fract_y
_atom_site_fract_z
Ce1 Ce 0.0000 0.0000 0.1745
Ce2 Ce 0.0000 0.0000 0.8255
Mg1 Mg 0.0000 0.0000 0.5000
Mg2 Mg 0.3333 0.6667 0.0000
Mg3 Mg 0.3333 0.6667 0.3450
Mg4 Mg 0.3333 0.6667 0.6550

---

[2]
# GGA-PBEsol Ce2Mg, optimized geometry
# - Distance to the lowest polymorph of the same formula: 55 meV per atom
# - Theoretical density: 7.02 g/cm³
# - Calculated formation energy: 2.0 kcal/mol of atoms
data_Ce2Mg
_cell_length_a 5.6171
_cell_length_b 3.1366
_cell_length_c 16.3625
_cell_angle_alpha 90.00
_cell_angle_beta 90.00
_cell_angle_gamma 90.00
_symmetry_space_group_name_H-M 'P 1'
_symmetry_Int_Tables_number 1
_symmetry_space_group_name_Hall 'P 1'
loop_
_atom_site_label
_atom_site_type_symbol
_atom_site_fract_x
_atom_site_fract_y
_atom_site_fract_z
Ce1 Ce 0.0000 0.0000 0.0000
Ce2 Ce 0.0000 0.0000 0.3236
Ce3 Ce 0.0000 0.0000 0.6670
Ce4 Ce 0.0000 0.5000 0.1670
Ce5 Ce 0.0000 0.5000 0.5000
Ce6 Ce 0.0000 0.5000 0.8236
Ce7 Ce 0.5000 0.0000 0.4759
Ce8 Ce 0.5000 0.5000 0.9759
Mg1 Mg 0.5000 0.0000 0.1456
Mg2 Mg 0.5000 0.0000 0.7973
Mg3 Mg 0.5000 0.5000 0.2973
Mg4 Mg 0.5000 0.5000 0.6456

---

[3]
# GGA-PBEsol Ce3Mg, optimized geometry
# - Theoretical density: 7.43 g/cm³
# - Calculated formation energy: 3.4 kcal/mol of atoms
data_Ce3Mg
_cell_length_a 4.6099
_cell_length_b 4.6099
_cell_length_c 9.3569
_cell_angle_alpha 90.00
_cell_angle_beta 90.00
_cell_angle_gamma 90.00
_symmetry_space_group_name_H-M 'P 1'
_symmetry_Int_Tables_number 1
_symmetry_space_group_name_Hall 'P 1'
loop_
_atom_site_label
_atom_site_type_symbol
_atom_site_fract_x
_atom_site_fract_y
_atom_site_fract_z
Ce1 Ce 0.0000 0.0000 0.0000
Ce2 Ce 0.0000 0.5000 0.2500
Ce3 Ce 0.0000 0.5000 0.7500
Ce4 Ce 0.5000 0.0000 0.2500
Ce5 Ce 0.5000 0.0000 0.7500
Ce6 Ce 0.5000 0.5000 0.5000
Mg1 Mg 0.0000 0.0000 0.5000
Mg2 Mg 0.5000 0.5000 0.0000

---

[4]
# GGA-PBEsol Ce2Mg, optimized geometry
# - Distance to the lowest polymorph of the same formula: 40 meV per atom
# - Theoretical density: 7.21 g/cm³
# - Calculated formation energy: 1.6 kcal/mol of atoms
data_Ce2Mg
_cell_length_a 3.0822
_cell_length_b 17.6016
_cell_length_c 5.1742
_cell_angle_alpha 90.00
_cell_angle_beta 90.00
_cell_angle_gamma 90.00
_symmetry_space_group_name_H-M 'P 1'
_symmetry_Int_Tables_number 1
_symmetry_space_group_name_Hall 'P 1'
loop_
_atom_site_label
_atom_site_type_symbol
_atom_site_fract_x
_atom_site_fract_y
_atom_site_fract_z
Ce1 Ce 0.0000 0.0744 0.2500
Ce2 Ce 0.0000 0.4125 0.2500
Ce3 Ce 0.0000 0.5875 0.7500
Ce4 Ce 0.0000 0.9256 0.7500
Ce5 Ce 0.5000 0.0875 0.7500
Ce6 Ce 0.5000 0.4256 0.7500
Ce7 Ce 0.5000 0.5744 0.2500
Ce8 Ce 0.5000 0.9125 0.2500
Mg1 Mg 0.0000 0.2588 0.7500
Mg2 Mg 0.0000 0.7412 0.2500
Mg3 Mg 0.5000 0.2412 0.2500
Mg4 Mg 0.5000 0.7588 0.7500

---

[5]
# GGA-PBEsol CeMg2, optimized geometry
# - Theoretical density: 4.31 g/cm³
# - Calculated formation energy: 0.9 kcal/mol of atoms
data_CeMg2
_cell_length_a 12.6150
_cell_length_b 3.1048
_cell_length_c 7.8027
_cell_angle_alpha 90.00
_cell_angle_beta 107.71
_cell_angle_gamma 90.00
_symmetry_space_group_name_H-M 'P 1'
_symmetry_Int_Tables_number 1
_symmetry_space_group_name_Hall 'P 1'
loop_
_atom_site_label
_atom_site_type_symbol
_atom_site_fract_x
_atom_site_fract_y
_atom_site_fract_z
Ce1 Ce 0.0000 0.0000 0.0000
Ce2 Ce 0.1361 0.5000 0.2730
Ce3 Ce 0.5000 0.5000 0.0000
Ce4 Ce 0.6361 0.0000 0.2730
Mg1 Mg 0.0396 0.0000 0.5890
Mg2 Mg 0.2189 0.5000 0.9076
Mg3 Mg 0.3190 0.0000 0.6333
Mg4 Mg 0.3712 0.0000 0.2614
Mg5 Mg 0.5396 0.5000 0.5890
Mg6 Mg 0.7189 0.0000 0.9076
Mg7 Mg 0.8190 0.5000 0.6333
Mg8 Mg 0.8712 0.5000 0.2614

---

[6]
# GGA-PBEsol CeMg2, optimized geometry
# - Theoretical density: 4.53 g/cm³
# - Calculated formation energy: 0.6 kcal/mol of atoms
data_CeMg2
_cell_length_a 3.1051
_cell_length_b 3.1051
_cell_length_c 16.5867
_cell_angle_alpha 90.00
_cell_angle_beta 90.00
_cell_angle_gamma 120.00
_symmetry_space_group_name_H-M 'P 1'
_symmetry_Int_Tables_number 1
_symmetry_space_group_name_Hall 'P 1'
loop_
_atom_site_label
_atom_site_type_symbol
_atom_site_fract_x
_atom_site_fract_y
_atom_site_fract_z
Ce1 Ce 0.3333 0.6667 0.4108
Ce2 Ce 0.6667 0.3333 0.5892
Mg1 Mg 0.3333 0.6667 0.0790
Mg2 Mg 0.3333 0.6667 0.7629
Mg3 Mg 0.6667 0.3333 0.2371
Mg4 Mg 0.6667 0.3333 0.9210

---

[7]
# GGA-PBEsol Ce2Mg, optimized geometry
# - Distance to the lowest polymorph of the same formula: 41 meV per atom
# - Theoretical density: 6.78 g/cm³
# - Calculated formation energy: 1.6 kcal/mol of atoms
data_Ce2Mg
_cell_length_a 9.4104
_cell_length_b 6.1337
_cell_length_c 5.9711
_cell_angle_alpha 90.00
_cell_angle_beta 120.00
_cell_angle_gamma 90.00
_symmetry_space_group_name_H-M 'P 1'
_symmetry_Int_Tables_number 1
_symmetry_space_group_name_Hall 'P 1'
loop_
_atom_site_label
_atom_site_type_symbol
_atom_site_fract_x
_atom_site_fract_y
_atom_site_fract_z
Ce1 Ce 0.1492 0.0962 0.2736
Ce2 Ce 0.1492 0.9038 0.7736
Ce3 Ce 0.3508 0.4038 0.7264
Ce4 Ce 0.3508 0.5962 0.2264
Ce5 Ce 0.6492 0.4038 0.7736
Ce6 Ce 0.6492 0.5962 0.2736
Ce7 Ce 0.8508 0.0962 0.2264
Ce8 Ce 0.8508 0.9038 0.7264
Mg1 Mg 0.0000 0.4010 0.7500
Mg2 Mg 0.0000 0.5990 0.2500
Mg3 Mg 0.5000 0.0990 0.2500
Mg4 Mg 0.5000 0.9010 0.7500

---

[8]
# GGA-PBEsol Ce3Mg, optimized geometry
# - Theoretical density: 7.83 g/cm³
# - Calculated formation energy: 1.7 kcal/mol of atoms
data_Ce3Mg
_cell_length_a 3.0340
_cell_length_b 3.0340
_cell_length_c 11.8300
_cell_angle_alpha 90.00
_cell_angle_beta 90.00
_cell_angle_gamma 120.00
_symmetry_space_group_name_H-M 'P 1'
_symmetry_Int_Tables_number 1
_symmetry_space_group_name_Hall 'P 1'
loop_
_atom_site_label
_atom_site_type_symbol
_atom_site_fract_x
_atom_site_fract_y
_atom_site_fract_z
Ce1 Ce 0.0000 0.0000 0.0000
Ce2 Ce 0.6667 0.3333 0.2512
Ce3 Ce 0.6667 0.3333 0.7488
Mg1 Mg 0.0000 0.0000 0.5000